# 1
This record from the Alexandria database describes a relaxed Li3MnSb crystal. The functional is PBEsol.

Properties
DOS at the Fermi energy = 2.6 states/eV per cell
ΔE_f (raw) = 1.97 eV per formula unit
Calculated volume = 26.3 Å³ per atom
Uncorrected energy = -3.649 eV/atom
Space group = No. 221
Size of the total moment = 5.06 μB/cell

abc: 5.0880 5.0880 5.0880
angles: 90.00 90.00 90.00
Closest atoms and distances in Å follow each position.
Sites, in units of the cell vectors:
Li1 0.0000 0.0000 0.5000  2 Sb 2.54
Li2 0.0000 0.5000 0.0000  2 Sb 2.54
Li3 0.5000 0.0000 0.0000  2 Sb 2.54
Mn1 0.5000 0.5000 0.5000  12 Li 3.60
Sb1 0.0000 0.0000 0.0000  6 Li 2.54

# 2
This record from the Alexandria database describes a relaxed K5Pt crystal. The functional is PBEsol.

Properties
DOS at the Fermi energy = 2.5 states/eV per cell
Calculated volume = 43.2 Å³ per atom
Uncorrected energy = -1.604 eV/atom
Space group = No. 216
ΔE to the lowest computed polymorph = 0.322 eV/atom
Size of the total moment = 0.00 μB/cell
DFT formation energy = 0.501 eV per atom

abc: 7.1589 7.1589 7.1589
angles: 60.00 60.00 60.00
Closest atoms and distances in Å follow each position.
Sites, in units of the cell vectors:
K1 0.0000 0.0000 0.0000  12 K 4.21, 4 Pt 4.38
K2 0.1338 0.6221 0.6221  6 K 3.50-3.66
K3 0.6221 0.1338 0.6221  6 K 3.50-3.66
K4 0.6221 0.6221 0.1338  6 K 3.50-3.66
K5 0.6221 0.6221 0.6221  6 K 3.50-3.66
Pt1 0.2500 0.2500 0.2500  16 K 4.19-4.38

# 3
This record from the Alexandria database describes a relaxed LaCd2Ag2 crystal. The functional is PBEsol.

Properties
DOS at the Fermi energy = 3.2 states/eV per cell
Calculated volume = 22.8 Å³ per atom
Uncorrected energy = -3.103 eV/atom
Space group = No. 139
Size of the total moment = 0.00 μB/cell
DFT formation energy = -0.230 eV per atom

abc: 7.0935 7.0935 7.0935
angles: 145.48 145.48 49.63
Closest atoms and distances in Å follow each position.
Sites, in units of the cell vectors:
La1 0.0000 0.0000 0.0000  8 Ag 3.26
Cd1 0.2500 0.7500 0.5000  4 Ag 2.82, 4 Cd 2.98
Cd2 0.7500 0.2500 0.5000  4 Ag 2.82, 4 Cd 2.98
Ag1 0.3963 0.3963 0.0000  1 Ag 2.67, 4 Cd 2.82
Ag2 0.6037 0.6037 0.0000  1 Ag 2.67, 4 Cd 2.82

# 4
This record from the Alexandria database describes a relaxed YTa2Ir crystal. The functional is PBEsol.

Properties
DOS at the Fermi energy = 3.6 states/eV per cell
Calculated volume = 17.5 Å³ per atom
Uncorrected energy = -10.395 eV/atom
Space group = No. 225
Size of the total moment = 0.00 μB/cell
DFT formation energy = 0.042 eV per atom

abc: 4.6237 4.6237 4.6237
angles: 60.00 60.00 60.00
Closest atoms and distances in Å follow each position.
Sites, in units of the cell vectors:
Y1 0.0000 0.0000 0.0000  8 Ta 2.83
Ta1 0.2500 0.2500 0.2500  4 Ir 2.83, 4 Y 2.83
Ta2 0.7500 0.7500 0.7500  4 Y 2.83, 4 Ir 2.83
Ir1 0.5000 0.5000 0.5000  8 Ta 2.83

# 5
This record from the Alexandria database describes a relaxed Li3PbAu crystal. The functional is PBEsol.

Properties
DOS at the Fermi energy = 2.0 states/eV per cell
Calculated volume = 21.5 Å³ per atom
Uncorrected energy = -2.902 eV/atom
Space group = No. 221
Size of the total moment = 0.00 μB/cell
DFT formation energy = -0.137 eV per atom

abc: 4.7519 4.7519 4.7519
angles: 90.00 90.00 90.00
Closest atoms and distances in Å follow each position.
Sites, in units of the cell vectors:
Li1 0.0000 0.0000 0.5000  2 Au 2.38
Li2 0.0000 0.5000 0.0000  2 Au 2.38
Li3 0.5000 0.0000 0.0000  2 Au 2.38
Pb1 0.5000 0.5000 0.5000  12 Li 3.36
Au1 0.0000 0.0000 0.0000  6 Li 2.38

# 6
This record from the Alexandria database describes a relaxed Zn2Ag crystal. The functional is PBEsol.

Properties
DOS at the Fermi energy = 1.6 states/eV per cell
Calculated volume = 14.8 Å³ per atom
Uncorrected energy = -2.214 eV/atom
Space group = No. 8
Size of the total moment = 0.00 μB/cell
DFT formation energy = -0.056 eV per atom

abc: 5.1640 5.1640 6.4923
angles: 103.02 103.02 31.93
Closest atoms and distances in Å follow each position.
Sites, in units of the cell vectors:
Zn1 0.0000 0.0000 0.0000  8 Zn 2.71-2.84, 4 Ag 2.73-2.74
Zn2 0.0577 0.0577 0.6101  5 Ag 2.71-2.73, 7 Zn 2.72-2.84
Zn3 0.3870 0.3870 0.2734  4 Ag 2.68-2.75, 8 Zn 2.71-2.84
Zn4 0.7199 0.7199 0.9404  3 Ag 2.68-2.71, 9 Zn 2.71-2.84
Ag1 0.3383 0.3383 0.6734  8 Zn 2.71-2.75, 4 Ag 2.84-2.89
Ag2 0.6627 0.6627 0.3237  8 Zn 2.68-2.73, 4 Ag 2.84-2.89